ZnGe2N: relaxed, PBE.

Cell lengths 4.4008, 4.4008, 4.4008 Å; angles 60.00, 60.00, 60.00 degrees
With the nearest neighbours (Å) after each atom.
Sites, in units of the cell vectors:
1 Zn 0.0000 0.0000 0.0000  8 Ge 2.69
2 Ge 0.2500 0.2500 0.2500  4 Zn 2.69, 4 N 2.69
3 Ge 0.7500 0.7500 0.7500  4 Zn 2.69, 4 N 2.69
4 N 0.5000 0.5000 0.5000  8 Ge 2.69

## Properties
formation energy from raw total energies = 103.00 kJ per mole of atoms
V = 60 Å³/f.u.
symmetry = Fm-3m
excess energy over the best structure of this formula in the dataset = 726.0 meV/atom
energy = -3.64 eV/atom



Zn4GeN4: relaxed, PBE.

Cell lengths 5.6904, 5.6904, 6.5691 Å; angles 90.00, 90.00, 84.36 degrees
With the nearest neighbours (Å) after each atom.
Sites, in units of the cell vectors:
1 Zn 0.0718 0.6311 0.7500  4 N 2.04-2.24
2 Zn 0.3348 0.3348 0.0000  4 N 2.03-2.10
3 Zn 0.3348 0.3348 0.5000  4 N 2.03-2.10
4 Zn 0.3689 0.9282 0.7500  4 N 2.04-2.24
5 Zn 0.6311 0.0718 0.2500  4 N 2.04-2.24
6 Zn 0.6652 0.6652 0.0000  4 N 2.03-2.10
7 Zn 0.6652 0.6652 0.5000  4 N 2.03-2.10
8 Zn 0.9282 0.3689 0.2500  4 N 2.04-2.24
9 Ge 0.1622 0.8378 0.2500  4 N 1.90-1.91
10 Ge 0.8378 0.1622 0.7500  4 N 1.90-1.91
11 N 0.1564 0.2390 0.7500  1 Ge 1.91, 3 Zn 2.03-2.04
12 N 0.2390 0.1564 0.2500  1 Ge 1.91, 3 Zn 2.03-2.04
13 N 0.2941 0.7059 0.0046  1 Ge 1.90, 2 Zn 2.10
14 N 0.2941 0.7059 0.4954  1 Ge 1.90, 2 Zn 2.10
15 N 0.7059 0.2941 0.5046  1 Ge 1.90, 2 Zn 2.10
16 N 0.7059 0.2941 0.9954  1 Ge 1.90, 2 Zn 2.10
17 N 0.7610 0.8436 0.7500  1 Ge 1.91, 3 Zn 2.03-2.04
18 N 0.8436 0.7610 0.2500  1 Ge 1.91, 3 Zn 2.03-2.04

## Properties
formation energy from raw total energies = 5.08 kJ per mole of atoms
V = 106 Å³/f.u.
symmetry = Cmcm
energy = -4.73 eV/atom